# 1
Below is a relaxed structure of KAlTe2O6, with properties calculated at the GGA-PBE level.

As for the crystal system: monoclinic. The raw formation energy comes out at -1649 meV/atom. The calculation puts the total moment at 0.00 μB/f.u.

Unit cell a=7.6772 b=7.7745 c=7.7745 alpha=104.17 beta=72.43 gamma=72.43
Atoms (fractional coordinates):
1 K 0.2500 0.9184 0.0816
2 K 0.7500 0.0816 0.9184
3 Al 0.2500 0.2124 0.7876
4 Al 0.7500 0.7876 0.2124
5 Te 0.3434 0.7407 0.5472
6 Te 0.1566 0.4528 0.2593
7 Te 0.6566 0.2593 0.4528
8 Te 0.8434 0.5472 0.7407
9 O 0.2013 0.9980 0.7535
10 O 0.2987 0.2465 0.0020
11 O 0.7987 0.0020 0.2465
12 O 0.7013 0.7535 0.9980
13 O 0.5362 0.8055 0.3921
14 O 0.9638 0.6079 0.1945
15 O 0.4638 0.1945 0.6079
16 O 0.0362 0.3921 0.8055
17 O 0.9717 0.6876 0.6288
18 O 0.5283 0.3712 0.3124
19 O 0.0283 0.3124 0.3712
20 O 0.4717 0.6288 0.6876

# 2
Below is a relaxed structure of KTi3AlO8, with properties calculated at the GGA-PBE level.

As for the crystal system: triclinic. The raw formation energy comes out at -2901 meV/atom. The calculation puts the total moment at 0.00 μB/f.u.

Unit cell a=2.9706 b=7.2692 c=7.3047 alpha=87.63 beta=101.73 gamma=101.78
Atoms (fractional coordinates):
1 K 0.0281 0.0071 0.0029
2 Ti 0.8580 0.5122 0.1680
3 Ti 0.6852 0.8046 0.5242
4 Ti 0.3400 0.1853 0.4896
5 Al 0.1698 0.4836 0.8159
6 O 0.3529 0.3741 0.2903
7 O 0.6838 0.6192 0.7076
8 O 0.9845 0.2991 0.6287
9 O 0.0618 0.7086 0.3738
10 O 0.3632 0.6440 0.0418
11 O 0.6744 0.3599 0.9476
12 O 0.7294 0.0523 0.3621
13 O 0.3190 0.9500 0.6474

# 3
Below is a relaxed structure of KTi2AlO6, with properties calculated at the GGA-PBE level.

As for the crystal system: monoclinic. The raw formation energy comes out at -2871 meV/atom. The calculation puts the total moment at 0.00 μB/f.u.

Unit cell a=6.1856 b=7.4148 c=7.4148 alpha=102.80 beta=76.28 gamma=76.28
Atoms (fractional coordinates):
1 K 0.2500 0.8959 0.1041
2 K 0.7500 0.1041 0.8959
3 Ti 0.3462 0.7263 0.5648
4 Ti 0.1538 0.4352 0.2737
5 Ti 0.6538 0.2737 0.4352
6 Ti 0.8462 0.5648 0.7263
7 Al 0.2500 0.2029 0.7971
8 Al 0.7500 0.7971 0.2029
9 O 0.2303 0.9621 0.7490
10 O 0.2697 0.2510 0.0379
11 O 0.7697 0.0379 0.2510
12 O 0.7303 0.7490 0.9621
13 O 0.4885 0.7876 0.3543
14 O 0.0115 0.6457 0.2124
15 O 0.5115 0.2124 0.6457
16 O 0.9885 0.3543 0.7876
17 O 0.0575 0.6618 0.5865
18 O 0.4425 0.4135 0.3382
19 O 0.9425 0.3382 0.4135
20 O 0.5575 0.5865 0.6618

# 4
Below is a relaxed structure of K3TiAl2O6, with properties calculated at the GGA-PBE level.

As for the crystal system: trigonal. The raw formation energy comes out at -2210 meV/atom. The calculation puts the total moment at 0.85 μB/f.u.

Unit cell a=5.7344 b=5.7344 c=7.0987 alpha=90.00 beta=90.00 gamma=120.00
Last column: magnetic moment on the atom in μB.
Atoms (fractional coordinates):
1 K 0.3333 0.6667 0.7185  0.01
2 K 0.6667 0.3333 0.2815  0.01
3 K 0.0000 0.0000 0.0000  0.01
4 Ti 0.0000 0.0000 0.5000  0.09
5 Al 0.6667 0.3333 0.7063  0.02
6 Al 0.3333 0.6667 0.2937  0.02
7 O 0.6758 0.8379 0.3318  0.01
8 O 0.1621 0.3242 0.3318  0.01
9 O 0.1621 0.8379 0.3318  0.01
10 O 0.8379 0.6758 0.6682  0.01
11 O 0.3242 0.1621 0.6682  0.01
12 O 0.8379 0.1621 0.6682  0.01

# 5
Below is a relaxed structure of K3TmAl2O6, with properties calculated at the GGA-PBE level.

As for the crystal system: trigonal. The raw formation energy comes out at -2406 meV/atom. The calculation puts the total moment at 0.00 μB/f.u.

Unit cell a=5.9981 b=5.9981 c=7.0475 alpha=90.00 beta=90.00 gamma=120.00
Atoms (fractional coordinates):
1 K 0.3333 0.6667 0.7487
2 K 0.6667 0.3333 0.2513
3 K 0.0000 0.0000 0.0000
4 Tm 0.0000 0.0000 0.5000
5 Al 0.6667 0.3333 0.7012
6 Al 0.3333 0.6667 0.2988
7 O 0.6615 0.8308 0.2999
8 O 0.1692 0.3385 0.2999
9 O 0.1692 0.8308 0.2999
10 O 0.8308 0.6615 0.7001
11 O 0.3385 0.1692 0.7001
12 O 0.8308 0.1692 0.7001

# 6
Below is a relaxed structure of K3Tm3AlO8, with properties calculated at the GGA-PBE level.

As for the crystal system: trigonal. The raw formation energy comes out at -2648 meV/atom. The calculation puts the total moment at 1.14 μB/f.u.

Unit cell a=6.6189 b=6.6195 c=7.3396 alpha=116.82 beta=90.00 gamma=120.00
Last column: magnetic moment on the atom in μB.
Atoms (fractional coordinates):
1 K 0.0000 0.0000 0.0000  0.00
2 K 0.0000 0.5000 0.0000  0.00
3 K 0.5000 0.5000 0.0000  0.00
4 Tm 0.5000 0.0000 0.5000  -0.01
5 Tm 0.5000 0.5000 0.5000  -0.01
6 Tm 0.0000 0.5000 0.5000  -0.01
7 Al 0.0000 0.0000 0.5000  -0.01
8 O 0.2729 0.5457 0.3186  0.04
9 O 0.7271 0.4543 0.6814  0.04
10 O 0.7942 0.5885 0.3333  0.15
11 O 0.2058 0.4115 0.6667  0.15
12 O 0.7943 0.0390 0.3333  0.15
13 O 0.2057 0.9610 0.6667  0.15
14 O 0.2447 0.0390 0.3333  0.15
15 O 0.7553 0.9610 0.6667  0.15

# 7
Below is a relaxed structure of K2TmAlO4, with properties calculated at the GGA-PBE level.

As for the crystal system: tetragonal. The raw formation energy comes out at -2613 meV/atom. The calculation puts the total moment at 0.00 μB/f.u.

Unit cell a=5.8851 b=5.8851 c=5.8851 alpha=87.72 beta=121.33 gamma=121.33
Atoms (fractional coordinates):
1 K 0.5000 0.7500 0.2500
2 K 0.0000 0.0000 0.0000
3 Tm 0.5000 0.2500 0.7500
4 Al 0.0000 0.5000 0.5000
5 O 0.6433 0.3918 0.4829
6 O 0.0911 0.2515 0.6082
7 O 0.9089 0.5171 0.1604
8 O 0.3567 0.8396 0.7485

# 8
Below is a relaxed structure of K3Tm2AlO6, with properties calculated at the GGA-PBE level.

As for the crystal system: monoclinic. The raw formation energy comes out at -2592 meV/atom. The calculation puts the total moment at 0.00 μB/f.u.

Unit cell a=5.6844 b=5.6844 c=6.4719 alpha=98.41 beta=98.41 gamma=120.01
Atoms (fractional coordinates):
1 K 0.1642 0.8358 0.5000
2 K 0.8358 0.1642 0.5000
3 K 0.5000 0.5000 0.5000
4 Tm 0.3333 0.6667 0.0000
5 Tm 0.6667 0.3333 0.0000
6 Al 0.0000 0.0000 0.0000
7 O 0.9413 0.6369 0.8238
8 O 0.7543 0.7543 0.1756
9 O 0.0587 0.3631 0.1762
10 O 0.6369 0.9413 0.8238
11 O 0.2457 0.2457 0.8244
12 O 0.3631 0.0587 0.1762

# 9
Below is a relaxed structure of K4Tm3AlO8, with properties calculated at the GGA-PBE level.

As for the crystal system: trigonal. The raw formation energy comes out at -2625 meV/atom. The calculation puts the total moment at 0.00 μB/f.u.

Unit cell a=6.6425 b=7.2959 c=6.6426 alpha=117.07 beta=120.00 gamma=90.00
Atoms (fractional coordinates):
1 K 0.5000 0.0000 0.0000
2 K 0.5000 0.0000 0.5000
3 K 0.0000 0.0000 0.0000
4 K 0.0000 0.0000 0.5000
5 Tm 0.5000 0.5000 0.0000
6 Tm 0.5000 0.5000 0.5000
7 Tm 0.0000 0.5000 0.5000
8 Al 0.0000 0.5000 0.0000
9 O 0.2132 0.6763 0.9630
10 O 0.2133 0.6763 0.4266
11 O 0.2718 0.3152 0.5435
12 O 0.7498 0.6763 0.9630
13 O 0.2502 0.3237 0.0370
14 O 0.7282 0.6848 0.4565
15 O 0.7867 0.3237 0.5734
16 O 0.7868 0.3237 0.0370

# 10
Below is a relaxed structure of K2U3AlO12, with properties calculated at the GGA-PBE level.

As for the crystal system: trigonal. The raw formation energy comes out at -2775 meV/atom. The calculation puts the total moment at 0.00 μB/f.u.

Unit cell a=7.3769 b=7.3769 c=7.3769 alpha=64.78 beta=64.78 gamma=64.78
Atoms (fractional coordinates):
1 K 0.6342 0.6342 0.6342
2 K 0.3658 0.3658 0.3658
3 U 0.5000 0.0000 0.0000
4 U 0.0000 0.5000 0.0000
5 U 0.0000 0.0000 0.5000
6 Al 0.0000 0.0000 0.0000
7 O 0.3262 0.3262 0.9413
8 O 0.9451 0.9451 0.2926
9 O 0.2926 0.9451 0.9451
10 O 0.9413 0.3262 0.3262
11 O 0.9451 0.2926 0.9451
12 O 0.3262 0.9413 0.3262
13 O 0.6738 0.6738 0.0587
14 O 0.0549 0.0549 0.7074
15 O 0.7074 0.0549 0.0549
16 O 0.0587 0.6738 0.6738
17 O 0.0549 0.7074 0.0549
18 O 0.6738 0.0587 0.6738